VPdSe2F: optimized geometry, GGA+U.

Symmetry = P4/mmm
Total energy = -4.07 eV/atom
Magnetic moment = 2.581 μB per formula unit
Density of states at the Fermi level = 3.645 states/eV/cell

a = 4.756 Å, b = 5.465 Å, c = 4.756 Å
α = 90.00°, β = 90.00°, γ = 90.00°
Last column: magnetic moment on the atom in μB.
Sites, in units of the cell vectors:
Se  0.000  0.000  0.500  0.08
Se  0.500  0.000  0.000  0.18
F  0.500  0.500  0.500  0.07
V  0.000  0.500  0.000  -2.84
Pd  0.000  0.000  0.000  0.09